Here is a relaxed structure of Sm2EuSc from Alexandria via LeMat-Bulk. Energies are from GGA-PBE.

Lattice parameters (Å, degrees): 5.680 5.680 5.680 60.00 60.00 60.00
Site moments in Bohr magnetons follow the coordinates.
Atoms (fractional coordinates):
1 Sm 0.750 0.750 0.750  0.09
2 Sm 0.250 0.250 0.250  0.09
3 Sc 0.500 0.500 0.500  0.08
4 Eu 0.000 0.000 0.000  6.84

Properties
**Energy above the lowest structure with this stoichiometry**: 92 meV/atom
**DOS at the Fermi energy**: 1.662 states/eV/atom
**Final energy**: -25.42 eV/f.u.
**E_form**: 0.62 eV/f.u.
**Symmetry**: No. 225

---

Here is a relaxed structure of PaHgSeO6 from Alexandria via LeMat-Bulk. Energies are from GGA-PBE.

Lattice parameters (Å, degrees): 5.563 5.563 9.717 90.00 90.00 120.00
Atoms (fractional coordinates):
1 Hg 0.000 0.000 0.500
2 Hg 0.000 0.000 0.000
3 Se 0.333 0.667 0.750
4 Se 0.667 0.333 0.250
5 O 0.653 0.035 0.360
6 O 0.382 0.035 0.140
7 O 0.035 0.653 0.860
8 O 0.965 0.618 0.360
9 O 0.653 0.618 0.140
10 O 0.347 0.382 0.860
11 O 0.618 0.965 0.860
12 O 0.382 0.347 0.360
13 O 0.035 0.382 0.640
14 O 0.965 0.347 0.140
15 O 0.347 0.965 0.640
16 O 0.618 0.653 0.640
17 Pa 0.333 0.667 0.250
18 Pa 0.667 0.333 0.750

Properties
**DOS at the Fermi energy**: 0.510 states/eV/atom
**Final energy**: -56.27 eV/f.u.
**Symmetry**: No. 163

---

> Which formula does entry 2 have?

PaHgSeO6